Ca2LaSi: optimized geometry, GGA-PBEsol.

The structure in POSCAR format:
```
Ca2LaSi
1.0
-0.018 1.865 3.037
-3.151 1.411 -0.885
-4.615 -7.456 4.550
Ca Si La
2 1 1
Cartesian
-2.723 -0.202 2.199
-4.301 -6.948 4.240
-5.050 -3.962 4.493
-2.632 -4.252 2.595
```

Results
- Crystal system: tetragonal
- Space-group type: P4mm (99)
- Formation energy (no corrections): -0.214 eV/atom